Below is an optimized crystal structure of Hg2IrRu, with properties calculated at the GGA-PBE level.

- V (A^3/atom) = 17.79
- DFT formation energy (eV/atom) = 0.718
- electronic total energy (eV/atom) = -3.967
- energy above the lowest structure with this stoichiometry (eV/atom) = 0.411
- total magnetic moment (μB/f.u.) = 2.30
- DOS(E_F) (states/eV/cell) = 12.605

```
data_Hg2IrRu
_space_group_name_H-M_alt 'F -4 3 m'
_space_group_IT_number 216
_space_group_name_Hall 'F -4 2 3'
_cell_length_a 6.578
_cell_length_b 6.578
_cell_length_c 6.578
_cell_angle_alpha 90.00
_cell_angle_beta 90.00
_cell_angle_gamma 90.00
loop_
_atom_site_label
_atom_site_type_symbol
_atom_site_fract_x
_atom_site_fract_y
_atom_site_fract_z
Hg1 Hg 0.000 0.000 0.000
Hg2 Hg 0.250 0.250 0.250
Ir1 Ir 0.250 0.250 0.750
Ru1 Ru 0.000 0.000 0.500
```